(1)
Entry from Alexandria: an optimized crystal structure of LaSiS2N (PBEsol).

Calculated values
- Total magnetic moment: 0.0 μB per cell
- Calculated density: 5.1 Mg/m³
- Fermi-level density of states: 0.1641 states/eV per atom
- ΔE_f (raw): -1.0377 eV per atom
- Electronic total energy: -33.58 eV/cell

Cell: 4.7825 4.7825 3.5147 Å, 90.00 90.00 90.00°
Space group P4/mmm (No. 123)
One atom of each set of equivalent atoms:
1 La 0.0000 0.0000 0.0000 [1 per cell]
2 Si 0.5000 0.5000 0.5000 [1 per cell]
3 S 0.0000 0.5000 0.5000 [2 per cell]
4 N 0.5000 0.5000 0.0000 [1 per cell]

***

(2)
Entry from Alexandria: an optimized crystal structure of MnBe4W (PBEsol).

Calculated values
- Total magnetic moment: 0.0 μB per cell
- Calculated density: 8.3 Mg/m³
- Calculated formation energy: -243 meV per atom
- Fermi-level density of states: 0.2309 states/eV per atom
- Electronic total energy: -164.10 eV/cell

Cell: 6.0377 6.0377 6.0377 Å, 90.00 90.00 90.00°
Space group F-43m (No. 216)
One atom of each set of equivalent atoms:
1 Mn 0.0000 0.0000 0.0000 [4 per cell]
2 Be 0.1244 0.1244 0.3756 [16 per cell]
3 W 0.2500 0.2500 0.7500 [4 per cell]

***

(3)
Entry from Alexandria: an optimized crystal structure of K4TcSe (PBEsol).

Calculated values
- Total magnetic moment: 11.9 μB per cell
- Calculated density: 2.7 Mg/m³
- Fermi-level density of states: 1.0538 states/eV per atom
- ΔE_f (raw): 0.9567 eV per atom
- Electronic total energy: -55.64 eV/cell

Cell: 9.3041 9.3041 9.3041 Å, 90.00 90.00 90.00°
Space group F-43m (No. 216)
One atom of each set of equivalent atoms:
1 K 0.1227 0.1227 0.3773 [16 per cell]
2 Tc 0.0000 0.0000 0.0000 [4 per cell]
3 Se 0.2500 0.2500 0.7500 [4 per cell]

***

(4)
Entry from Alexandria: an optimized crystal structure of LaInW2 (PBEsol).

Calculated values
- Total magnetic moment: 0.0 μB per cell
- Calculated density: 12.3 Mg/m³
- Calculated formation energy: 745 meV per atom
- Fermi-level density of states: 0.8038 states/eV per atom
- Electronic total energy: -32.97 eV/cell

Cell: 2.8466 4.4908 6.5831 Å, 90.00 90.00 90.00°
Space group Pmmm (No. 47)
One atom of each set of equivalent atoms:
1 La 0.0000 0.0000 0.0000 [1 per cell]
2 In 0.0000 0.0000 0.5000 [1 per cell]
3 W 0.5000 0.5000 0.3098 [2 per cell]

***

(5)
Entry from Alexandria: an optimized crystal structure of La5Ag3 (PBEsol).

Calculated values
- Total magnetic moment: 0.0 μB per cell
- Calculated density: 6.8 Mg/m³
- Calculated formation energy: -125 meV per atom
- Fermi-level density of states: 1.1519 states/eV per atom
- Relative energy among the computed polymorphs: 0.000 eV per atom
- Electronic total energy: -75.33 eV/cell

Cell: 9.0890 9.0890 6.9153 Å, 90.00 90.00 120.00°
Space group P6_3/mcm (No. 193)
One atom of each set of equivalent atoms:
1 La 0.0000 0.2371 0.2500 [6 per cell]
2 La 0.3333 0.6667 0.0000 [4 per cell]
3 Ag 0.0000 0.4023 0.7500 [6 per cell]

***

(6)
Entry from Alexandria: an optimized crystal structure of SrBe2SiN (PBEsol).

Calculated values
- Total magnetic moment: 4.4 μB per cell
- Calculated density: 1.2 Mg/m³
- Fermi-level density of states: 1.1937 states/eV per atom
- ΔE_f (raw): 2.9870 eV per atom
- Electronic total energy: -9.18 eV/cell

Cell: 5.9756 5.9756 5.8997 Å, 90.00 90.00 90.00°
Space group P4/mmm (No. 123)
One atom of each set of equivalent atoms:
1 Sr 0.0000 0.0000 0.0000 [1 per cell]
2 Be 0.0000 0.5000 0.0000 [2 per cell]
3 Si 0.0000 0.0000 0.5000 [1 per cell]
4 N 0.5000 0.5000 0.5000 [1 per cell]

***

(7)
Entry from Alexandria: an optimized crystal structure of GeRh (PBEsol).

Calculated values
- Total magnetic moment: 0.0 μB per cell
- Calculated density: 10.3 Mg/m³
- Calculated formation energy: -551 meV per atom
- Fermi-level density of states: 0.2783 states/eV per atom
- Electronic total energy: -56.72 eV/cell

Cell: 4.8324 4.8324 4.8324 Å, 90.00 90.00 90.00°
Space group P2_13 (No. 198)
One atom of each set of equivalent atoms:
1 Ge 0.1610 0.3390 0.6610 [4 per cell]
2 Rh 0.1336 0.1336 0.1336 [4 per cell]

***

(8)
Entry from Alexandria: an optimized crystal structure of CrTeMo (PBEsol).

Calculated values
- Total magnetic moment: 0.0 μB per cell
- Calculated density: 9.6 Mg/m³
- Fermi-level density of states: 0.6141 states/eV per atom
- ΔE_f (raw): 0.5111 eV per atom
- Relative energy among the computed polymorphs: 0.000 eV per atom
- Electronic total energy: -24.00 eV/cell

Cell: 4.2834 4.2834 2.9859 Å, 90.00 90.00 120.00°
Space group P3m1 (No. 156)
One atom of each set of equivalent atoms:
1 Cr 0.0000 0.0000 0.0000 [1 per cell]
2 Te 0.3333 0.6667 0.9463 [1 per cell]
3 Mo 0.6667 0.3333 0.4380 [1 per cell]

***

Which of these has the highest electronic total energy? SrBe2SiN